Record 1
SrLu3Fe: optimized geometry, PBE-GGA.

Computed properties:
The uncorrected energy comes out at -23.4 eV per cell. Its crystal system is cubic. The value obtained for the energy of formation is 0.054 eV/atom. As for the space group: Pm-3m (221).

Cell: 5.260 5.260 5.260 Å, 90.00 90.00 90.00°
Positions (direct):
Lu: 0.500 0.000 0.000
Lu: 0.000 0.500 0.000
Lu: 0.000 0.000 0.500
Fe: 0.000 0.000 0.000
Sr: 0.500 0.500 0.500

***

Record 2
LuTaFe: optimized geometry, PBE-GGA.

Computed properties:
The uncorrected energy comes out at -24.6 eV per cell. Its crystal system is tetragonal. The value obtained for the energy of formation is 0.063 eV/atom. As for the space group: I4mm (107).

Cell: 3.193 3.193 5.820 Å, 105.92 105.92 90.00°
Positions (direct):
Ta: 0.303 0.303 0.606
Fe: 0.688 0.688 0.377
Lu: 0.009 0.009 0.018

***

Record 3
Tb2LuFe: optimized geometry, PBE-GGA.

Computed properties:
The uncorrected energy comes out at -21.8 eV per cell. Its crystal system is tetragonal. The value obtained for the energy of formation is 0.108 eV/atom. As for the space group: P4/mmm (123).

Cell: 3.473 3.473 8.416 Å, 90.00 90.00 90.00°
Positions (direct):
Tb: 0.000 0.000 0.807
Tb: 0.000 0.000 0.193
Lu: 0.500 0.500 0.500
Fe: 0.500 0.500 0.000